Pm2YSc3 | the Alexandria database | GGA-PBE | relaxed; distance to the lowest polymorph of the same formula = 0.0 kJ/mol of formula units; E_tot = -33.8 eV/f.u.; N(E_F) = 10.1 states/eV/f.u.
1.0
9.596 0.000 5.499
4.016 6.633 4.113
2.370 0.468 6.987
Sc Y Pm
6 2 4
Direct
0.648 0.473 0.199 Sc
0.680 0.973 0.699 Sc
0.290 0.250 0.750 Sc
0.710 0.750 0.250 Sc
0.352 0.527 0.801 Sc
0.320 0.027 0.301 Sc
0.000 0.500 0.500 Y
0.000 0.000 0.000 Y
0.442 0.764 0.887 Pm
0.092 0.736 0.613 Pm
0.558 0.236 0.113 Pm
0.908 0.264 0.387 Pm

HgBiTe2N | the Alexandria database | GGA-PBE | relaxed; distance to the lowest polymorph of the same formula = 0.0 kJ/mol of formula units; uncorrected formation energy = 94.4 kJ/mol of atoms; E_tot = -13.9 eV/f.u.; N(E_F) = 4.3 states/eV/f.u.
1.0
-0.451 -5.707 1.911
2.870 -1.888 -4.963
3.870 0.393 2.088
N Bi Te Hg
1 1 2 1
Direct
0.000 0.000 0.500 N
0.000 0.000 0.000 Bi
0.500 0.000 0.000 Te
0.000 0.500 0.000 Te
0.500 0.500 0.500 Hg

HgP2BrO | the Alexandria database | GGA-PBE | relaxed; distance to the lowest polymorph of the same formula = 8.0 kJ/mol of formula units; uncorrected formation energy = 107.1 kJ/mol of atoms; E_tot = -12.2 eV/f.u.; N(E_F) = 4.4 states/eV/f.u.
1.0
4.980 0.000 0.000
0.000 4.980 0.000
0.000 0.000 3.922
Hg P O Br
1 2 1 1
Direct
0.500 0.500 0.500 Hg
0.000 0.500 0.000 P
0.500 0.000 0.000 P
0.000 0.000 0.500 O
0.000 0.000 0.000 Br

RbNbTlI2 | the Alexandria database | GGA-PBE | relaxed; uncorrected formation energy = -10.6 kJ/mol of atoms; E_tot = -17.1 eV/f.u.; N(E_F) = 3.3 states/eV/f.u.
1.0
-0.371 5.802 -0.725
0.672 -0.650 -5.549
-5.805 -0.453 -0.650
Tl I Rb Nb
1 2 1 1
Direct
0.000 0.500 0.000 Tl
0.000 0.000 0.500 I
0.500 0.000 0.000 I
0.500 0.500 0.500 Rb
0.000 0.000 0.000 Nb